A plane-wave DFT calculation with GGA+U was carried out for a geometry-optimized Sr2PtWO structure.

N(E_F), states/eV per atom: 0.390
E_tot, eV per atom: -4.60

Cell lengths 4.983, 4.667, 4.983 Å; angles 90.00, 90.00, 90.00 degrees
Sites, in units of the cell vectors:
1 W 0.500 0.500 0.500
2 Sr 0.000 0.000 0.500
3 Sr 0.500 0.000 0.000
4 O 0.000 0.000 0.000
5 Pt 0.000 0.500 0.000